Density functional theory data (PBE) for an optimized crystal structure of BaSi3W.

Cell: 4.855 4.855 4.855 Å, 90.00 90.00 90.00°
Fractional positions:
Si1 0.000 0.500 0.000
Si2 0.000 0.000 0.500
Si3 0.500 0.000 0.000
Ba1 0.500 0.500 0.500
W1 0.000 0.000 0.000

Results
Energy   -31.21 eV for the cell shown
Formation energy without anion corrections   -0.013 eV per atom
Symmetry   Pm-3m, No. 221